# 1
A plane-wave DFT calculation with GGA-PBE was carried out for a relaxed Y2BeAu crystal.

Structure (CIF):
```
data_Y2BeAu
_cell_length_a 7.734
_cell_length_b 7.734
_cell_length_c 7.734
_cell_angle_alpha 29.36
_cell_angle_beta 29.36
_cell_angle_gamma 29.36
_space_group_name_H-M_alt 'P 1'
_space_group_IT_number 1
loop_
_space_group_symop_operation_xyz
'x,y,z'
loop_
_atom_site_label
_atom_site_type_symbol
_atom_site_fract_x
_atom_site_fract_y
_atom_site_fract_z
Au1 Au 0.250 0.250 0.250
Y1 Y 0.005 0.005 0.005
Y2 Y 0.495 0.495 0.495
Be1 Be 0.750 0.750 0.750
```

Results
Uncorrected energy (hartree per atom): -0.1880
Space group: R-3m (166)
Calculated volume (Å³ per atom): 24.61

# 2
A plane-wave DFT calculation with GGA-PBE was carried out for a relaxed AcSi4Ir4 crystal.

Structure (CIF):
```
data_AcSi4Ir4
_cell_length_a 6.051
_cell_length_b 6.051
_cell_length_c 8.226
_cell_angle_alpha 90.00
_cell_angle_beta 90.00
_cell_angle_gamma 90.00
_space_group_name_H-M_alt 'P 1'
_space_group_IT_number 1
loop_
_space_group_symop_operation_xyz
'x,y,z'
loop_
_atom_site_label
_atom_site_type_symbol
_atom_site_fract_x
_atom_site_fract_y
_atom_site_fract_z
Si1 Si 0.500 0.799 0.831
Ir1 Ir 0.500 0.768 0.128
Ir2 Ir 0.732 0.000 0.628
Si2 Si 0.201 0.500 0.169
Si3 Si 0.299 0.000 0.331
Ir3 Ir 0.000 0.268 0.372
Ir4 Ir 0.268 0.000 0.628
Si4 Si 0.799 0.500 0.169
Ir5 Ir 0.768 0.500 0.872
Si5 Si 0.000 0.701 0.669
Ac1 Ac 0.000 0.000 0.000
Ir6 Ir 0.232 0.500 0.872
Ir7 Ir 0.000 0.732 0.372
Si6 Si 0.000 0.299 0.669
Si7 Si 0.500 0.201 0.831
Si8 Si 0.701 0.000 0.331
Ac2 Ac 0.500 0.500 0.500
Ir8 Ir 0.500 0.232 0.128
```

Results
Uncorrected energy (hartree per atom): -0.2762
ΔE_f (raw) (eV per atom): -0.7096
Space group: P4_2/nmc (137)
Calculated volume (Å³ per atom): 16.73

# 3
A plane-wave DFT calculation with GGA-PBE was carried out for a relaxed Tl3Ag2I3Cl2 crystal.

Structure (CIF):
```
data_Tl3Ag2I3Cl2
_cell_length_a 5.085
_cell_length_b 5.085
_cell_length_c 14.656
_cell_angle_alpha 99.99
_cell_angle_beta 99.99
_cell_angle_gamma 90.00
_space_group_name_H-M_alt 'P 1'
_space_group_IT_number 1
loop_
_space_group_symop_operation_xyz
'x,y,z'
loop_
_atom_site_label
_atom_site_type_symbol
_atom_site_fract_x
_atom_site_fract_y
_atom_site_fract_z
I1 I 0.500 0.500 0.000
Tl1 Tl 0.367 0.367 0.734
Ag1 Ag 0.218 0.218 0.436
I2 I 0.881 0.881 0.762
Ag2 Ag 0.782 0.782 0.564
Cl1 Cl 0.750 0.250 0.500
I3 I 0.119 0.119 0.238
Cl2 Cl 0.250 0.750 0.500
Tl2 Tl 0.000 0.000 0.000
Tl3 Tl 0.633 0.633 0.266
```

Results
Uncorrected energy (hartree per atom): -0.0984
ΔE_f (raw) (eV per atom): -0.5644
Space group: I4/mmm (139)
Calculated volume (Å³ per atom): 36.73